[1]
The following is a SCAN calculation of a crystal of MgFeCu2 relaxed with PBEsol, from Alexandria via LeMat-Bulk.

Unit cell a=2.6491 b=2.6491 c=25.5159 alpha=90.00 beta=90.00 gamma=120.00
Last column: nearest neighbours and their distance in Å.
Atoms (fractional coordinates):
Mg1 0.0000 0.0000 0.0000  6 Mg 2.65, 6 Cu 2.71
Mg2 0.3333 0.6667 0.6667  6 Mg 2.65, 6 Cu 2.71
Mg3 0.6667 0.3333 0.3333  6 Mg 2.65, 6 Cu 2.71
Fe1 0.0000 0.0000 0.5000  6 Cu 2.53, 6 Fe 2.65
Fe2 0.3333 0.6667 0.1667  6 Cu 2.53, 6 Fe 2.65
Fe3 0.6667 0.3333 0.8333  6 Cu 2.53, 6 Fe 2.65
Cu1 0.0000 0.0000 0.2459  3 Fe 2.53, 6 Cu 2.65, 3 Mg 2.71
Cu2 0.0000 0.0000 0.7541  3 Fe 2.53, 6 Cu 2.65, 3 Mg 2.71
Cu3 0.3333 0.6667 0.4208  3 Fe 2.53, 6 Cu 2.65, 3 Mg 2.71
Cu4 0.3333 0.6667 0.9125  3 Fe 2.53, 6 Cu 2.65, 3 Mg 2.71
Cu5 0.6667 0.3333 0.0875  3 Fe 2.53, 6 Cu 2.65, 3 Mg 2.71
Cu6 0.6667 0.3333 0.5792  3 Fe 2.53, 6 Cu 2.65, 3 Mg 2.71

Values from the calculation:
Energy of formation from the pure elements   0.19 eV per atom
Total magnetization   0.74 μB/atom
Space-group type   R-3m

=====

[2]
The following is a SCAN calculation of a crystal of MgFeCu relaxed with PBEsol, from Alexandria via LeMat-Bulk.

Unit cell a=5.7801 b=5.7801 c=5.7801 alpha=90.00 beta=90.00 gamma=90.00
Last column: nearest neighbours and their distance in Å.
Atoms (fractional coordinates):
Mg1 0.0000 0.0000 0.0000  4 Fe 2.50
Mg2 0.0000 0.5000 0.5000  4 Fe 2.50
Mg3 0.5000 0.0000 0.5000  4 Fe 2.50
Mg4 0.5000 0.5000 0.0000  4 Fe 2.50
Fe1 0.2500 0.2500 0.2500  4 Mg 2.50, 4 Cu 2.50
Fe2 0.2500 0.7500 0.7500  4 Mg 2.50, 4 Cu 2.50
Fe3 0.7500 0.2500 0.7500  4 Mg 2.50, 4 Cu 2.50
Fe4 0.7500 0.7500 0.2500  4 Mg 2.50, 4 Cu 2.50
Cu1 0.0000 0.0000 0.5000  4 Fe 2.50
Cu2 0.0000 0.5000 0.0000  4 Fe 2.50
Cu3 0.5000 0.0000 0.0000  4 Fe 2.50
Cu4 0.5000 0.5000 0.5000  4 Fe 2.50

Values from the calculation:
Energy of formation from the pure elements   0.59 eV per atom
Total magnetization   0.90 μB/atom
Space-group type   F-43m

=====

[3]
The following is a SCAN calculation of a crystal of Mg14FeCuO16 relaxed with PBEsol, from Alexandria via LeMat-Bulk.

Unit cell a=8.4665 b=8.4665 c=4.2013 alpha=90.00 beta=90.00 gamma=90.00
Last column: nearest neighbours and their distance in Å.
Atoms (fractional coordinates):
Mg1 0.0000 0.2479 0.0000  6 O 2.10-2.13
Mg2 0.0000 0.5000 0.5000  6 O 2.04-2.14
Mg3 0.0000 0.7521 0.0000  6 O 2.10-2.13
Mg4 0.2466 0.2466 0.5000  6 O 2.09-2.15
Mg5 0.2466 0.7534 0.5000  6 O 2.09-2.15
Mg6 0.2479 0.0000 0.0000  6 O 2.10-2.13
Mg7 0.2483 0.5000 0.0000  6 O 2.10-2.13
Mg8 0.5000 0.0000 0.5000  6 O 2.04-2.14
Mg9 0.5000 0.2483 0.0000  6 O 2.10-2.13
Mg10 0.5000 0.7517 0.0000  6 O 2.10-2.13
Mg11 0.7521 0.0000 0.0000  6 O 2.10-2.13
Mg12 0.7517 0.5000 0.0000  6 O 2.10-2.13
Mg13 0.7534 0.2466 0.5000  6 O 2.09-2.15
Mg14 0.7534 0.7534 0.5000  6 O 2.09-2.15
Fe1 0.5000 0.5000 0.5000  6 O 2.09-2.10
Cu1 0.0000 0.0000 0.5000  6 O 2.10-2.20
O1 0.0000 0.0000 0.0000  4 Mg 2.10, 2 Cu 2.10
O2 0.0000 0.2594 0.5000  5 Mg 2.04-2.10, 1 Cu 2.20
O3 0.0000 0.5000 0.0000  6 Mg 2.10-2.13
O4 0.0000 0.7406 0.5000  5 Mg 2.04-2.10, 1 Cu 2.20
O5 0.2505 0.2505 0.0000  6 Mg 2.10-2.12
O6 0.2505 0.7495 0.0000  6 Mg 2.10-2.12
O7 0.2528 0.5000 0.5000  1 Fe 2.09, 5 Mg 2.10-2.15
O8 0.2594 0.0000 0.5000  5 Mg 2.04-2.10, 1 Cu 2.20
O9 0.5000 0.0000 0.0000  6 Mg 2.10-2.13
O10 0.5000 0.2528 0.5000  1 Fe 2.09, 5 Mg 2.10-2.15
O11 0.5000 0.5000 0.0000  2 Fe 2.10, 4 Mg 2.13
O12 0.5000 0.7472 0.5000  1 Fe 2.09, 5 Mg 2.10-2.15
O13 0.7406 0.0000 0.5000  5 Mg 2.04-2.10, 1 Cu 2.20
O14 0.7472 0.5000 0.5000  1 Fe 2.09, 5 Mg 2.10-2.15
O15 0.7495 0.2505 0.0000  6 Mg 2.10-2.12
O16 0.7495 0.7495 0.0000  6 Mg 2.10-2.12

Values from the calculation:
Total magnetization   0.16 μB/atom
Raw formation energy   -88.14 eV per formula unit
Space-group type   P4/mmm